Record 1
Pr2Dy6Sc | PBE-GGA | optimized geometry

The formation energy comes out at 0.20 eV/atom.

The structure belongs to space group C2/m (No. 12); the cell edges are 17.7265, 9.8681 and 3.4388 Å and the angles 90.00°, 100.91° and 90.00°. The inequivalent atoms are Pr at (0.1673, 0.0000, 0.1668), Dy at (0.0000, 0.2004, 0.0000), Dy at (0.1639, 0.3167, 0.6629) and Sc at (0.0000, 0.5000, 0.5000).


Record 2
LiGeOs2Cl | PBE-GGA | optimized geometry

Its formation energy (no corrections) is 1.699 eV per atom.

The structure belongs to space group P4/mmm (No. 123); the cell edges are 4.3758, 4.3758 and 4.1641 Å and the angles 90.00°, 90.00° and 90.00°. The inequivalent atoms are Li at (0.0000, 0.0000, 0.0000), Ge at (0.0000, 0.0000, 0.5000), Os at (0.0000, 0.5000, 0.0000) and Cl at (0.5000, 0.5000, 0.5000).


Record 3
Er3MgTe6 | PBE-GGA | optimized geometry

Its formation energy (no corrections) is -1.108 eV per atom.

The structure belongs to space group Cmc2_1 (No. 36); the cell edges are 12.0663, 14.2661 and 7.4936 Å and the angles 90.00°, 90.00° and 90.00°. The inequivalent atoms are Er at (0.0000, 0.0962, 0.0000), Er at (0.1760, 0.4023, 0.0983), Mg at (0.0000, 0.2874, 0.6253), Te at (0.0000, 0.2713, 0.2557), Te at (0.0000, 0.4636, 0.7986), Te at (0.1656, 0.0392, 0.2965) and Te at (0.1788, 0.2239, 0.8314).